DFT (PBE-GGA) results for crystalline ReTcPt2 at its relaxed geometry.

Geometry as POSCAR:
```
ReTcPt2
1.0
9.2424 0.0000 0.0000
0.0000 2.7621 0.0000
-0.8272 0.0000 4.7143
Re Tc Pt
2 2 4
Direct
0.0000 0.0000 0.0000 Re
0.5000 0.5000 0.0000 Re
0.0000 0.5000 0.5000 Tc
0.5000 0.0000 0.5000 Tc
0.2505 0.0000 0.7504 Pt
0.2495 0.5000 0.2496 Pt
0.7495 0.0000 0.2496 Pt
0.7505 0.5000 0.7504 Pt
```

calculated volume: 120 Å³ per cell
formation energy: -0.13 eV/f.u.

DFT (PBE-GGA) results for crystalline TbErSc2S6 at its relaxed geometry.

Geometry as POSCAR:
```
TbErSc2S6
1.0
3.3474 1.9326 5.9642
-3.3474 1.9326 5.9642
0.0000 -3.8652 5.9642
Tb Er Sc S
1 1 2 6
Direct
0.0000 0.0000 0.0000 Tb
0.4978 0.4978 0.4978 Er
0.2990 0.2990 0.2990 Sc
0.8000 0.8000 0.8000 Sc
0.0775 0.4243 0.6786 S
0.1848 0.9180 0.5767 S
0.4243 0.6786 0.0775 S
0.5767 0.1849 0.9180 S
0.6786 0.0775 0.4243 S
0.9180 0.5767 0.1848 S
```

calculated volume: 232 Å³ per cell
raw formation energy: -19.6 eV per formula unit

DFT (PBE-GGA) results for crystalline TcRhW2 at its relaxed geometry.

Geometry as POSCAR:
```
TcRhW2
1.0
3.3764 0.0000 0.0000
0.0000 4.2515 0.0000
0.0000 0.0000 8.5504
Tc Rh W
2 2 4
Direct
0.0000 0.0000 0.0000 Tc
0.5000 0.5000 0.0000 Tc
0.0000 0.5000 0.7601 Rh
0.5000 0.0000 0.7601 Rh
0.0000 0.0000 0.5167 W
0.0000 0.5000 0.2533 W
0.5000 0.0000 0.2533 W
0.5000 0.5000 0.5167 W
```

calculated volume: 123 Å³ per cell
formation energy: 0.33 eV/f.u.

DFT (PBE-GGA) results for crystalline Y3HfSi at its relaxed geometry.

Geometry as POSCAR:
```
Y3HfSi
1.0
5.4409 0.0000 0.0000
0.0000 5.4409 0.0000
0.0000 0.0000 5.4409
Y Hf Si
3 1 1
Direct
0.0000 0.0000 0.5000 Y
0.0000 0.5000 0.0000 Y
0.5000 0.0000 0.0000 Y
0.0000 0.0000 0.0000 Hf
0.5000 0.5000 0.5000 Si
```

calculated volume: 161 Å³ per cell
raw formation energy: 4.6 eV per formula unit

DFT (PBE-GGA) results for crystalline InPS2 at its relaxed geometry.

Geometry as POSCAR:
```
InPS2
1.0
6.4208 0.0000 0.0000
0.0000 6.4208 0.0000
0.0000 0.0000 11.2564
In P S
4 4 8
Direct
0.0000 0.0000 0.0000 In
0.0000 0.5000 0.2500 In
0.5000 0.0000 0.7500 In
0.5000 0.5000 0.5000 In
0.0000 0.0000 0.5000 P
0.0000 0.5000 0.7500 P
0.5000 0.0000 0.2500 P
0.5000 0.5000 0.0000 P
0.1277 0.2500 0.6250 S
0.2500 0.6277 0.8750 S
0.2500 0.8723 0.3750 S
0.3723 0.2500 0.1250 S
0.6277 0.7500 0.1250 S
0.7500 0.1277 0.3750 S
0.7500 0.3723 0.8750 S
0.8723 0.7500 0.6250 S
```

calculated volume: 464 Å³ per cell
raw formation energy: 0.5 eV per formula unit

DFT (PBE-GGA) results for crystalline CdP2Cl at its relaxed geometry.

Geometry as POSCAR:
```
CdP2Cl
1.0
4.7767 0.0000 0.0000
0.0000 13.0807 0.0000
0.0000 0.0000 2.8681
Cd P Cl
2 4 2
Direct
0.0000 0.0000 0.0000 Cd
0.5000 0.5000 0.0000 Cd
0.2500 0.2500 0.5000 P
0.2500 0.7500 0.5000 P
0.7500 0.2500 0.5000 P
0.7500 0.7500 0.5000 P
0.0000 0.5000 0.0000 Cl
0.5000 0.0000 0.0000 Cl
```

calculated volume: 179 Å³ per cell
raw formation energy: 1.7 eV per formula unit

DFT (PBE-GGA) results for crystalline Ag7Sb at its relaxed geometry.

Geometry as POSCAR:
```
Ag7Sb
1.0
0.0000 4.2347 4.2347
4.2347 0.0000 4.2347
4.2347 4.2347 0.0000
Ag Sb
7 1
Direct
0.0000 0.0000 0.0000 Ag
0.0000 0.0000 0.5000 Ag
0.0000 0.5000 0.0000 Ag
0.0000 0.5000 0.5000 Ag
0.5000 0.0000 0.0000 Ag
0.5000 0.0000 0.5000 Ag
0.5000 0.5000 0.0000 Ag
0.5000 0.5000 0.5000 Sb
```

calculated volume: 152 Å³ per cell
raw formation energy: 0.5 eV per formula unit

DFT (PBE-GGA) results for crystalline RbAg2SnSe at its relaxed geometry.

Geometry as POSCAR:
```
RbAg2SnSe
1.0
5.2354 0.0000 0.0000
0.0000 5.2354 0.0000
0.0000 0.0000 7.1768
Rb Ag Sn Se
1 2 1 1
Direct
0.0000 0.0000 0.0000 Rb
0.0000 0.5000 0.5000 Ag
0.5000 0.0000 0.5000 Ag
0.0000 0.0000 0.5000 Sn
0.5000 0.5000 0.0000 Se
```

calculated volume: 197 Å³ per cell
raw formation energy: 1.7 eV per formula unit

DFT (PBE-GGA) results for crystalline Tb3YTl4S8 at its relaxed geometry.

Geometry as POSCAR:
```
Tb3YTl4S8
1.0
4.0474 2.3368 7.5173
-4.0474 2.3368 7.5173
0.0000 -4.6735 7.5173
Tb Y Tl S
3 1 4 8
Direct
0.0000 0.5000 0.5000 Tb
0.5000 0.0000 0.5000 Tb
0.5000 0.5000 0.0000 Tb
0.0000 0.0000 0.0000 Y
0.0000 0.0000 0.5000 Tl
0.0000 0.5000 0.0000 Tl
0.5000 0.0000 0.0000 Tl
0.5000 0.5000 0.5000 Tl
0.2325 0.2325 0.7335 S
0.2325 0.7335 0.2325 S
0.2665 0.7675 0.7675 S
0.2671 0.2671 0.2671 S
0.7329 0.7329 0.7329 S
0.7335 0.2325 0.2325 S
0.7675 0.2665 0.7675 S
0.7675 0.7675 0.2665 S
```

calculated volume: 427 Å³ per cell
raw formation energy: -23.8 eV per formula unit

DFT (PBE-GGA) results for crystalline ZrBeSb at its relaxed geometry.

Geometry as POSCAR:
```
ZrBeSb
1.0
4.1685 0.0000 0.0000
0.0000 5.3457 0.0000
0.0000 0.0000 10.1231
Zr Be Sb
4 4 4
Direct
0.0000 0.0000 0.0000 Zr
0.0000 0.5000 0.5000 Zr
0.5000 0.0000 0.5000 Zr
0.5000 0.5000 0.0000 Zr
0.0000 0.0000 0.3398 Be
0.0000 0.5000 0.8398 Be
0.5000 0.0000 0.8398 Be
0.5000 0.5000 0.3398 Be
0.0000 0.0000 0.7001 Sb
0.0000 0.5000 0.2001 Sb
0.5000 0.0000 0.2001 Sb
0.5000 0.5000 0.7001 Sb
```

calculated volume: 226 Å³ per cell
raw formation energy: -0.2 eV per formula unit

DFT (PBE-GGA) results for crystalline Ta2MnTcS at its relaxed geometry.

Geometry as POSCAR:
```
Ta2MnTcS
1.0
4.7139 0.0000 0.0000
0.0000 4.7139 0.0000
0.0000 0.0000 3.9122
Ta Mn Tc S
2 1 1 1
Direct
0.0000 0.5000 0.0000 Ta
0.5000 0.0000 0.0000 Ta
0.0000 0.0000 0.0000 Mn
0.5000 0.5000 0.5000 Tc
0.0000 0.0000 0.5000 S
```

calculated volume: 87 Å³ per cell
raw formation energy: 4.5 eV per formula unit

DFT (PBE-GGA) results for crystalline TbLuOs4 at its relaxed geometry.

Geometry as POSCAR:
```
TbLuOs4
1.0
0.0000 3.7745 3.7745
3.7745 0.0000 3.7745
3.7745 3.7745 0.0000
Tb Lu Os
1 1 4
Direct
0.0000 0.0000 0.0000 Tb
0.7500 0.7500 0.7500 Lu
0.3751 0.3751 0.3751 Os
0.3751 0.3751 0.8746 Os
0.3751 0.8746 0.3751 Os
0.8746 0.3751 0.3751 Os
```

calculated volume: 108 Å³ per cell
formation energy: -1.76 eV/f.u.

DFT (PBE-GGA) results for crystalline PmSbTe at its relaxed geometry.

Geometry as POSCAR:
```
PmSbTe
1.0
4.1163 0.0000 0.0000
0.0000 4.1163 0.0000
0.0000 0.0000 10.1571
Pm Sb Te
2 2 2
Direct
0.0000 0.0000 0.0000 Pm
0.5000 0.5000 0.5000 Pm
0.0000 0.0000 0.6571 Sb
0.5000 0.5000 0.1571 Sb
0.0000 0.0000 0.3500 Te
0.5000 0.5000 0.8500 Te
```

calculated volume: 172 Å³ per cell
raw formation energy: -2.5 eV per formula unit

DFT (PBE-GGA) results for crystalline KNpSb2 at its relaxed geometry.

Geometry as POSCAR:
```
KNpSb2
1.0
4.5628 0.0000 0.0000
-2.2814 3.9515 0.0000
0.0000 0.0000 24.6028
K Np Sb
3 3 6
Direct
0.0000 0.0000 0.0000 K
0.3333 0.6667 0.6667 K
0.6667 0.3333 0.3333 K
0.0000 0.0000 0.8298 Np
0.3333 0.6667 0.4965 Np
0.6667 0.3333 0.1632 Np
0.0000 0.0000 0.2274 Sb
0.0000 0.0000 0.4332 Sb
0.3333 0.6667 0.0999 Sb
0.3333 0.6667 0.8941 Sb
0.6667 0.3333 0.5608 Sb
0.6667 0.3333 0.7666 Sb
```

calculated volume: 444 Å³ per cell
raw formation energy: -0.5 eV per formula unit

DFT (PBE-GGA) results for crystalline ScFe at its relaxed geometry.

Geometry as POSCAR:
```
ScFe
1.0
7.0742 0.0000 0.0000
0.0000 7.0742 0.0000
0.0000 0.0000 7.0742
Sc Fe
6 6
Direct
0.0000 0.2500 0.5000 Sc
0.0000 0.7500 0.5000 Sc
0.2500 0.5000 0.0000 Sc
0.5000 0.0000 0.2500 Sc
0.5000 0.0000 0.7500 Sc
0.7500 0.5000 0.0000 Sc
0.0000 0.5000 0.2500 Fe
0.0000 0.5000 0.7500 Fe
0.2500 0.0000 0.5000 Fe
0.5000 0.2500 0.0000 Fe
0.5000 0.7500 0.0000 Fe
0.7500 0.0000 0.5000 Fe
```

calculated volume: 354 Å³ per cell
formation energy: 3.19 eV/f.u.

DFT (PBE-GGA) results for crystalline Pr3ErSe4 at its relaxed geometry.

Geometry as POSCAR:
```
Pr3ErSe4
1.0
7.3777 0.0000 0.0000
0.0000 8.3506 0.0000
-2.3856 0.0000 6.8576
Pr Er Se
6 2 8
Direct
0.0000 0.1214 0.2500 Pr
0.0000 0.3730 0.7500 Pr
0.0000 0.6270 0.2500 Pr
0.0000 0.8786 0.7500 Pr
0.5000 0.1231 0.7500 Pr
0.5000 0.8769 0.2500 Pr
0.5000 0.3732 0.2500 Er
0.5000 0.6268 0.7500 Er
0.2579 0.1334 0.0082 Se
0.2579 0.8666 0.5082 Se
0.2644 0.3823 0.4992 Se
0.2644 0.6177 0.9992 Se
0.7356 0.3823 0.0008 Se
0.7356 0.6177 0.5008 Se
0.7421 0.1334 0.4918 Se
0.7421 0.8666 0.9918 Se
```

calculated volume: 422 Å³ per cell
raw formation energy: -14.5 eV per formula unit

DFT (PBE-GGA) results for crystalline Pr2HoEr3Sb6 at its relaxed geometry.

Geometry as POSCAR:
```
Pr2HoEr3Sb6
1.0
9.6386 -2.2138 0.0000
9.6386 2.2138 0.0000
-2.0174 0.0000 8.6129
Pr Ho Er Sb
2 1 3 6
Direct
0.1655 0.1655 0.3324 Pr
0.8345 0.8345 0.6676 Pr
0.5000 0.5000 0.0000 Ho
0.1683 0.1683 0.8343 Er
0.5000 0.5000 0.5000 Er
0.8317 0.8317 0.1657 Er
0.0040 0.0040 0.7515 Sb
0.3339 0.3339 0.9261 Sb
0.3361 0.3361 0.4090 Sb
0.6639 0.6639 0.5910 Sb
0.6661 0.6661 0.0739 Sb
0.9960 0.9960 0.2485 Sb
```

calculated volume: 368 Å³ per cell
raw formation energy: -13.5 eV per formula unit

DFT (PBE-GGA) results for crystalline Pb2Au at its relaxed geometry.

Geometry as POSCAR:
```
Pb2Au
1.0
6.3981 0.0000 0.0000
0.0000 7.0698 0.0000
0.0000 0.0000 3.9454
Pb Au
4 2
Direct
0.2034 0.1319 0.0000 Pb
0.2966 0.6319 0.5000 Pb
0.7034 0.3681 0.5000 Pb
0.7966 0.8681 0.0000 Pb
0.0000 0.5000 0.0000 Au
0.5000 0.0000 0.5000 Au
```

calculated volume: 178 Å³ per cell
formation energy: -0.03 eV/f.u.

DFT (PBE-GGA) results for crystalline CaCo2Br at its relaxed geometry.

Geometry as POSCAR:
```
CaCo2Br
1.0
10.6832 0.0000 0.0000
0.0000 3.5068 0.0000
-1.0164 0.0000 4.7841
Ca Co Br
2 4 2
Direct
0.0000 0.0000 0.0000 Ca
0.5000 0.5000 0.0000 Ca
0.2176 0.5000 0.8644 Co
0.2824 0.0000 0.1356 Co
0.7176 0.0000 0.8644 Co
0.7824 0.5000 0.1356 Co
0.0000 0.5000 0.5000 Br
0.5000 0.0000 0.5000 Br
```

calculated volume: 179 Å³ per cell
raw formation energy: 0.3 eV per formula unit

DFT (PBE-GGA) results for crystalline Na4Tl5In2 at its relaxed geometry.

Geometry as POSCAR:
```
Na4Tl5In2
1.0
9.7097 -2.1402 0.0000
9.7097 2.1402 0.0000
-0.3457 0.0000 8.1806
Na Tl In
4 5 2
Direct
0.0572 0.0572 0.2847 Na
0.2491 0.2491 0.1764 Na
0.7509 0.7509 0.8236 Na
0.9428 0.9428 0.7153 Na
0.1188 0.1188 0.9034 Tl
0.1870 0.1870 0.5423 Tl
0.5000 0.5000 0.0000 Tl
0.8130 0.8130 0.4577 Tl
0.8812 0.8812 0.0966 Tl
0.4318 0.4318 0.3842 In
0.5682 0.5682 0.6158 In
```

calculated volume: 340 Å³ per cell
formation energy: -0.49 eV/f.u.

| no. | VASP energy (Ry per atom) |
| --- | --- |
| 1 | -0.64365 |
| 2 | -0.48696 |
| 3 | -0.79544 |
| 4 | -0.44291 |
| 5 | -0.29180 |
| 6 | -0.21837 |
| 7 | -0.21637 |
| 8 | -0.18257 |
| 9 | -0.39818 |
| 10 | -0.40571 |
| 11 | -0.63041 |
| 12 | -0.68388 |
| 13 | -0.35639 |
| 14 | -0.41860 |
| 15 | -0.42649 |
| 16 | -0.43447 |
| 17 | -0.40437 |
| 18 | -0.26266 |
| 19 | -0.32363 |
| 20 | -0.15418 |